Material: CsNaTl4
Method: DFT, PBE-GGA
State: optimized geometry

```
6
Lattice="6.7465 0.0000 0.0000 3.3732 5.8426 0.0000 3.3732 1.9475 5.5085" Properties=species:S:1:pos:R:3 pbc="T T T"
Cs 3.3732 1.9475 1.3771
Na 0.0000 0.0000 0.0000
Tl 6.7465 3.8951 0.6708
Tl 6.7465 1.9307 3.4487
Tl 8.4476 4.8772 3.4487
Tl 5.0453 4.8772 3.4487
```

Values from the calculation:
Polymorph energy (0 for the lowest one) = 0.037 eV/atom
Magnetization = 0.0 μB/cell
Density of states at the Fermi level = 5.1 states/eV/cell
Density = 7.44 g cm⁻³